# 1
A geometry-optimized K2MnSi structure. Source: the Alexandria database, functional PBE.

Output
Space group   P2/m
Polymorph energy (0 for the lowest one)   337.1 meV per atom

Cell and atoms, written as POSCAR:
```
K2MnSi
1.0
5.567 0.000 0.000
0.000 5.184 0.584
0.000 4.369 5.299
K Mn Si
2 1 1
direct
0.000 0.805 0.981
0.000 0.695 0.519
0.500 0.250 0.250
0.500 0.750 0.750
```


# 2
A geometry-optimized ZrMn6P6 structure. Source: the Alexandria database, functional PBE.

Output
Space group   P6/mmm
Calculated formation energy   -0.48 eV/atom
Polymorph energy (0 for the lowest one)   0.0 meV per atom

Cell and atoms, written as POSCAR:
```
ZrMn6P6
1.0
-2.976 0.012 -4.020
1.247 -4.328 2.176
-5.916 0.498 4.380
P Mn Zr
6 6 1
direct
0.333 0.667 0.500
0.667 0.333 0.500
0.333 0.667 0.000
0.667 0.333 0.000
0.000 0.000 0.661
0.000 0.000 0.339
0.500 0.000 0.257
0.000 0.500 0.257
0.500 0.500 0.257
0.000 0.500 0.743
0.500 0.000 0.743
0.500 0.500 0.743
0.000 0.000 0.000
```